Record 1
Material: Hf4BeN2
Method: DFT, PBE
State: relaxed

Final energy (eV per cell): -136.275
Space-group type: No. 63
Raw formation energy (eV per atom): -1.14

Cell: 3.2720 5.6783 11.3079 Å, 90.00 90.00 106.74°
Positions (direct):
Hf  0.7653  0.5305  0.1112
Hf  0.7653  0.5305  0.3888
Hf  0.2347  0.4695  0.8888
Hf  0.2347  0.4695  0.6112
Hf  0.9317  0.8634  0.7500
Hf  0.0683  0.1366  0.2500
Hf  0.5000  0.0000  0.0000
Hf  0.5000  0.0000  0.5000
Be  0.6112  0.2225  0.7500
Be  0.3888  0.7775  0.2500
N  0.1338  0.2676  0.4384
N  0.8662  0.7324  0.9384
N  0.1338  0.2676  0.0616
N  0.8662  0.7324  0.5616

***

Record 2
Material: UBeSi2Pt2
Method: DFT, PBE
State: relaxed

Final energy (eV per cell): -41.555
Space-group type: No. 164
Raw formation energy (eV per atom): -0.60

Cell: 4.0464 4.0464 6.7974 Å, 90.00 90.00 120.00°
Positions (direct):
U  0.0000  0.0000  0.0000
Be  0.0000  0.0000  0.5000
Si  0.6667  0.3333  0.2508
Si  0.3333  0.6667  0.7492
Pt  0.6667  0.3333  0.6288
Pt  0.3333  0.6667  0.3712

***

Record 3
Material: FeHBr2
Method: DFT, PBE
State: relaxed

Final energy (eV per cell): -26.261
Space-group type: No. 122

Cell: 5.2579 5.2579 6.3606 Å, 65.59 65.59 90.00°
Positions (direct):
H  0.5000  0.5000  0.0000
H  0.2500  0.7500  0.5000
Fe  0.0000  0.0000  0.0000
Fe  0.7500  0.2500  0.5000
Br  0.6118  0.1250  0.2500
Br  0.1382  0.6250  0.2500
Br  0.3750  0.3882  0.7500
Br  0.8750  0.8618  0.7500

***

Repeat the second record exactly.
Material: UBeSi2Pt2
Method: DFT, PBE
State: relaxed

Final energy (eV per cell): -41.555
Space-group type: No. 164
Raw formation energy (eV per atom): -0.60

Cell: 4.0464 4.0464 6.7974 Å, 90.00 90.00 120.00°
Positions (direct):
U  0.0000  0.0000  0.0000
Be  0.0000  0.0000  0.5000
Si  0.6667  0.3333  0.2508
Si  0.3333  0.6667  0.7492
Pt  0.6667  0.3333  0.6288
Pt  0.3333  0.6667  0.3712